SrGdCuTe2Se: optimized geometry, PBE.

```
data_SrGdCuTe2Se
_chemical_formula_sum 'Sr2 Gd2 Cu2 Te4 Se2'
_cell_length_a 7.569
_cell_length_b 7.569
_cell_length_c 10.804
_cell_angle_alpha 90.00
_cell_angle_beta 90.00
_cell_angle_gamma 147.40
_symmetry_space_group_name_H-M 'P 1'
_symmetry_Int_Tables_number 1
loop_
_symmetry_equiv_pos_as_xyz
'x,y,z'
loop_
_atom_site_label
_atom_site_type_symbol
_atom_site_fract_x
_atom_site_fract_y
_atom_site_fract_z
_atom_site_occupancy
Sr1 Sr 0.232 0.768 0.750 1
Sr2 Sr 0.768 0.232 0.250 1
Gd1 Gd 0.500 0.500 0.000 1
Gd2 Gd 0.500 0.500 0.500 1
Cu1 Cu 0.026 0.974 0.250 1
Cu2 Cu 0.974 0.026 0.750 1
Te1 Te 0.146 0.854 0.065 1
Te2 Te 0.146 0.854 0.435 1
Te3 Te 0.854 0.146 0.565 1
Te4 Te 0.854 0.146 0.935 1
Se1 Se 0.428 0.572 0.250 1
Se2 Se 0.572 0.428 0.750 1
```

Summary:
Its calculated density is 6.40 Mg/m³. The calculated total energy is -55.48 eV for the cell shown.

---

GdCuSi3: optimized geometry, PBE.

```
data_GdCuSi3
_chemical_formula_sum 'Gd2 Cu2 Si6'
_cell_length_a 10.686
_cell_length_b 10.686
_cell_length_c 4.047
_cell_angle_alpha 90.00
_cell_angle_beta 90.00
_cell_angle_gamma 158.26
_symmetry_space_group_name_H-M 'P 1'
_symmetry_Int_Tables_number 1
loop_
_symmetry_equiv_pos_as_xyz
'x,y,z'
loop_
_atom_site_label
_atom_site_type_symbol
_atom_site_fract_x
_atom_site_fract_y
_atom_site_fract_z
_atom_site_occupancy
Gd1 Gd 0.168 0.832 0.000 1
Gd2 Gd 0.832 0.168 0.000 1
Cu1 Cu 0.388 0.612 0.500 1
Cu2 Cu 0.612 0.388 0.500 1
Si1 Si 0.055 0.945 0.500 1
Si2 Si 0.279 0.721 0.500 1
Si3 Si 0.445 0.555 0.000 1
Si4 Si 0.555 0.445 0.000 1
Si5 Si 0.721 0.279 0.500 1
Si6 Si 0.945 0.055 0.500 1
```

Summary:
Its calculated density is 5.92 Mg/m³. The calculated total energy is -53.58 eV for the cell shown.

---

GdCuSi3: optimized geometry, PBE.

```
data_GdCuSi3
_chemical_formula_sum 'Gd2 Cu2 Si6'
_cell_length_a 4.026
_cell_length_b 4.048
_cell_length_c 10.683
_cell_angle_alpha 90.00
_cell_angle_beta 100.86
_cell_angle_gamma 90.00
_symmetry_space_group_name_H-M 'P 1'
_symmetry_Int_Tables_number 1
loop_
_symmetry_equiv_pos_as_xyz
'x,y,z'
loop_
_atom_site_label
_atom_site_type_symbol
_atom_site_fract_x
_atom_site_fract_y
_atom_site_fract_z
_atom_site_occupancy
Gd1 Gd 0.000 0.000 0.000 1
Gd2 Gd 0.336 0.000 0.672 1
Cu1 Cu 0.555 0.500 0.112 1
Cu2 Cu 0.777 0.500 0.559 1
Si1 Si 0.112 0.500 0.225 1
Si2 Si 0.221 0.500 0.446 1
Si3 Si 0.447 0.500 0.894 1
Si4 Si 0.613 0.000 0.225 1
Si5 Si 0.728 0.000 0.447 1
Si6 Si 0.889 0.500 0.778 1
```

Summary:
Its calculated density is 5.93 Mg/m³. The calculated total energy is -53.57 eV for the cell shown.

---

SmGdCu2Si2: optimized geometry, PBE.

```
data_SmGdCu2Si2
_chemical_formula_sum 'Sm1 Gd1 Cu2 Si2'
_cell_length_a 4.175
_cell_length_b 4.175
_cell_length_c 7.783
_cell_angle_alpha 90.00
_cell_angle_beta 90.00
_cell_angle_gamma 120.00
_symmetry_space_group_name_H-M 'P 1'
_symmetry_Int_Tables_number 1
loop_
_symmetry_equiv_pos_as_xyz
'x,y,z'
loop_
_atom_site_label
_atom_site_type_symbol
_atom_site_fract_x
_atom_site_fract_y
_atom_site_fract_z
_atom_site_occupancy
Sm1 Sm 0.000 0.000 0.000 1
Gd1 Gd 0.000 0.000 0.500 1
Cu1 Cu 0.333 0.667 0.251 1
Cu2 Cu 0.667 0.333 0.749 1
Si1 Si 0.333 0.667 0.749 1
Si2 Si 0.667 0.333 0.251 1
```

Summary:
Its calculated density is 6.94 Mg/m³. The calculated total energy is -31.57 eV for the cell shown.